Record 1
Mg3MoAu: relaxed, PBE.

Cell: 4.9993 4.9993 4.9993 Å, 90.00 90.00 90.00°
Atoms (fractional coordinates):
Mg: 0.0000 0.0000 0.5000
Mg: 0.0000 0.5000 0.0000
Mg: 0.5000 0.0000 0.0000
Mo: 0.5000 0.5000 0.5000
Au: 0.0000 0.0000 0.0000

Calculated values
The formation energy comes out at 3.2 eV/f.u. The total moment is 4.00 μB/cell. Its space-group type is No. 221. Its total energy is -0.2303 Ry/atom. The calculation puts the energy above the most stable polymorph in this dataset at 0.000 eV per atom.



Record 2
MgMo2Au: relaxed, PBE.

Cell: 2.7233 4.2144 5.8827 Å, 90.00 90.00 90.00°
Atoms (fractional coordinates):
Mg: 0.0000 0.0000 0.0000
Mo: 0.0000 0.0000 0.4926
Mo: 0.5000 0.5000 0.2802
Au: 0.5000 0.5000 0.7781

Calculated values
The formation energy comes out at 0.8 eV/f.u. The total moment is 0.00 μB/cell. Its space-group type is No. 25. Its total energy is -0.4735 Ry/atom.



Record 3
MgMo2Au: relaxed, PBE.

Cell: 2.7871 4.1693 5.8816 Å, 90.00 95.99 90.00°
Atoms (fractional coordinates):
Mg: 0.0000 0.0000 0.0000
Mo: 0.5193 0.5000 0.2766
Mo: 0.8640 0.0000 0.4836
Au: 0.4474 0.5000 0.7717

Calculated values
The formation energy comes out at 0.5 eV/f.u. The total moment is 0.00 μB/cell. Its space-group type is No. 6. Its total energy is -0.4792 Ry/atom.



Record 4
MgMo2Au: relaxed, PBE.

Cell: 4.1309 4.1309 7.7857 Å, 90.00 90.00 90.00°
Atoms (fractional coordinates):
Mg: 0.0000 0.0000 0.0000
Mg: 0.5000 0.5000 0.5000
Mo: 0.0000 0.0000 0.5000
Mo: 0.0000 0.5000 0.7500
Mo: 0.5000 0.0000 0.2500
Mo: 0.5000 0.5000 0.0000
Au: 0.0000 0.5000 0.2500
Au: 0.5000 0.0000 0.7500

Calculated values
The formation energy comes out at 1.0 eV/f.u. The total moment is 0.00 μB/cell. Its space-group type is No. 119. Its total energy is -0.4692 Ry/atom.